Computed, not measured: crystalline TcHgIr3 at its relaxed geometry at the GGA-PBE level of DFT.

The space group is Pm-3m (No. 221) and the conventional cell measures 4.7245, 4.7245 and 4.7245 Å, with angles of 90.00, 90.00 and 90.00 degrees. Symmetry generates all atoms from Tc at (0.0000, 0.0000, 0.0000), Hg at (0.5000, 0.5000, 0.5000) and Ir at (0.0000, 0.0000, 0.5000).

Its formation energy is 1.606 eV per atom. The theoretical density is 13.78 g/cm3. The density of states at the Fermi level is 0.978 states/eV/atom. The total energy comes out at -29.222 eV/cell.